Entry 1:
Entry from Alexandria via LeMat-Bulk: DyHgPdPb after structural relaxation (PBE-GGA).

abc: 7.1614 7.1614 7.1614
angles: 90.00 90.00 90.00
Closest atoms and distances in Å follow each position.
Fractional positions:
Dy (0.0000, 0.0000, 0.0000)  4 Hg 3.10, 4 Pd 3.10
Dy (0.0000, 0.5000, 0.5000)  4 Hg 3.10, 4 Pd 3.10
Dy (0.5000, 0.0000, 0.5000)  4 Hg 3.10, 4 Pd 3.10
Dy (0.5000, 0.5000, 0.0000)  4 Hg 3.10, 4 Pd 3.10
Hg (0.2500, 0.2500, 0.2500)  4 Pb 3.10, 4 Dy 3.10
Hg (0.2500, 0.7500, 0.7500)  4 Pb 3.10, 4 Dy 3.10
Hg (0.7500, 0.2500, 0.7500)  4 Pb 3.10, 4 Dy 3.10
Hg (0.7500, 0.7500, 0.2500)  4 Pb 3.10, 4 Dy 3.10
Pd (0.2500, 0.2500, 0.7500)  4 Pb 3.10, 4 Dy 3.10
Pd (0.2500, 0.7500, 0.2500)  4 Pb 3.10, 4 Dy 3.10
Pd (0.7500, 0.2500, 0.2500)  4 Pb 3.10, 4 Dy 3.10
Pd (0.7500, 0.7500, 0.7500)  4 Pb 3.10, 4 Dy 3.10
Pb (0.0000, 0.0000, 0.5000)  4 Pd 3.10, 4 Hg 3.10
Pb (0.0000, 0.5000, 0.0000)  4 Pd 3.10, 4 Hg 3.10
Pb (0.5000, 0.0000, 0.0000)  4 Pd 3.10, 4 Hg 3.10
Pb (0.5000, 0.5000, 0.5000)  4 Pd 3.10, 4 Hg 3.10

Summary:
Symmetry   F-43m
Mass density   12.2 g cm⁻³
Total magnetization   0.00 μB/f.u.
Formation enthalpy at 0 K   -449 meV per atom

---

Entry 2:
Entry from Alexandria via LeMat-Bulk: Ba3In11 after structural relaxation (PBE-GGA).

abc: 9.7688 9.7688 9.7688
angles: 150.24 107.33 80.44
Closest atoms and distances in Å follow each position.
Fractional positions:
Ba (0.0000, 0.0000, 0.0000)  16 In 3.78-4.21
Ba (0.3155, 0.3155, 0.0000)  14 In 3.65-4.04
Ba (0.6845, 0.6845, 0.0000)  14 In 3.65-4.04
In (0.0333, 0.6614, 0.3719)  5 In 2.97-3.07
In (0.1263, 0.8526, 0.2737)  5 In 3.03-3.34
In (0.2896, 0.6614, 0.6281)  5 In 2.97-3.07
In (0.2924, 0.5000, 0.7924)  6 In 3.07-3.34
In (0.4211, 0.1474, 0.2737)  5 In 3.03-3.34
In (0.5000, 0.0000, 0.5000)  8 In 3.42-3.47, 4 Ba 3.72
In (0.5789, 0.8526, 0.7263)  5 In 3.03-3.34
In (0.7076, 0.5000, 0.2076)  6 In 3.07-3.34
In (0.7104, 0.3386, 0.3719)  5 In 2.97-3.07
In (0.8737, 0.1474, 0.7263)  5 In 3.03-3.34
In (0.9667, 0.3386, 0.6281)  5 In 2.97-3.07

Summary:
Symmetry   Immm
Mass density   6.4 g cm⁻³
Total magnetization   0.00 μB/f.u.
Formation enthalpy at 0 K   -352 meV per atom

---

Entry 3:
Entry from Alexandria via LeMat-Bulk: Tb7Tm after structural relaxation (PBE-GGA).

abc: 7.0822 7.0822 7.0822
angles: 60.00 60.00 60.00
Closest atoms and distances in Å follow each position.
Fractional positions:
Tb (0.0000, 0.0000, 0.0000)  12 Tb 3.54
Tb (0.0000, 0.0000, 0.5000)  10 Tb 3.54, 2 Tm 3.54
Tb (0.0000, 0.5000, 0.0000)  10 Tb 3.54, 2 Tm 3.54
Tb (0.0000, 0.5000, 0.5000)  2 Tm 3.54, 10 Tb 3.54
Tb (0.5000, 0.0000, 0.0000)  10 Tb 3.54, 2 Tm 3.54
Tb (0.5000, 0.0000, 0.5000)  2 Tm 3.54, 10 Tb 3.54
Tb (0.5000, 0.5000, 0.0000)  2 Tm 3.54, 10 Tb 3.54
Tm (0.5000, 0.5000, 0.5000)  12 Tb 3.54

Summary:
Symmetry   Fm-3m
Mass density   8.5 g cm⁻³
Total magnetization   0.00 μB/f.u.
Formation enthalpy at 0 K   16 meV per atom

---

Entry 4:
Entry from Alexandria via LeMat-Bulk: K2LiCo after structural relaxation (PBE-GGA).

abc: 7.8685 4.5080 9.1901
angles: 90.00 105.42 90.00
Closest atoms and distances in Å follow each position.
Fractional positions:
K (0.0000, 0.0000, 0.0000)  3 Co 3.51-3.52, 3 Li 3.61-3.63
K (0.1701, 0.0000, 0.5450)  3 Li 3.50-3.51, 3 Co 3.60-3.61
K (0.5000, 0.5000, 0.0000)  3 Co 3.51-3.52, 3 Li 3.61-3.63
K (0.6701, 0.5000, 0.5450)  3 Li 3.50-3.51, 3 Co 3.60-3.61
Li (0.4220, 0.0000, 0.2818)  3 Co 2.62
Li (0.9220, 0.5000, 0.2818)  3 Co 2.62
Co (0.2492, 0.5000, 0.2653)  3 Li 2.62
Co (0.7492, 0.0000, 0.2653)  3 Li 2.62

Summary:
Symmetry   Cm
Mass density   1.5 g cm⁻³
Total magnetization   1.66 μB/f.u.
Formation enthalpy at 0 K   651 meV per atom

---

Entry 5:
Entry from Alexandria via LeMat-Bulk: ScRe2Hg after structural relaxation (PBE-GGA).

abc: 2.8981 4.4202 5.7734
angles: 90.00 90.00 90.00
Closest atoms and distances in Å follow each position.
Fractional positions:
Sc (0.0000, 0.0000, 0.0000)  2 Hg 2.89, 8 Re 2.89, 2 Sc 2.90
Re (0.5000, 0.5000, 0.2023)  1 Re 2.34
Re (0.5000, 0.5000, 0.7977)  1 Re 2.34
Hg (0.0000, 0.0000, 0.5000)  2 Sc 2.89, 2 Hg 2.90, 8 Re 3.15

Summary:
Symmetry   Pmmm
Mass density   13.9 g cm⁻³
Total magnetization   0.00 μB/f.u.
Formation enthalpy at 0 K   421 meV per atom

---

Entry 6:
Entry from Alexandria via LeMat-Bulk: Pm6PrHg2 after structural relaxation (PBE-GGA).

abc: 6.7397 6.7397 12.2335
angles: 107.78 107.78 32.96
Closest atoms and distances in Å follow each position.
Fractional positions:
Pm (0.0190, 0.0190, 0.3384)  2 Hg 3.25, 3 Pm 3.59-3.62
Pm (0.3114, 0.3114, 0.4135)  2 Hg 3.33, 8 Pm 3.54-3.67
Pm (0.3130, 0.3130, 0.1249)  2 Hg 3.28, 5 Pm 3.53-3.62
Pm (0.6870, 0.6870, 0.8751)  2 Hg 3.28, 5 Pm 3.53-3.62
Pm (0.6886, 0.6886, 0.5865)  2 Hg 3.33, 8 Pm 3.54-3.67
Pm (0.9810, 0.9810, 0.6616)  2 Hg 3.25, 3 Pm 3.59-3.62
Pr (0.0000, 0.0000, 0.0000)  4 Hg 3.26
Hg (0.3540, 0.3540, 0.7916)  6 Pm 3.25-3.33, 2 Pr 3.26
Hg (0.6460, 0.6460, 0.2084)  6 Pm 3.25-3.33, 2 Pr 3.26

Summary:
Symmetry   C2/m
Mass density   8.2 g cm⁻³
Total magnetization   0.00 μB/f.u.
Formation enthalpy at 0 K   -207 meV per atom

---

Entry 7:
Entry from Alexandria via LeMat-Bulk: NbSnO2 after structural relaxation (PBE-GGA).

abc: 3.2816 3.2816 20.7702
angles: 90.00 90.00 120.00
Closest atoms and distances in Å follow each position.
Fractional positions:
Nb (0.0000, 0.0000, 0.0000)  2 O 1.95
Nb (0.3333, 0.6667, 0.6667)  2 O 1.95
Nb (0.6667, 0.3333, 0.3333)  2 O 1.95
Sn (0.0000, 0.0000, 0.5000)  6 O 2.42
Sn (0.3333, 0.6667, 0.1667)  6 O 2.42
Sn (0.6667, 0.3333, 0.8333)  6 O 2.42
O (0.0000, 0.0000, 0.0941)  1 Nb 1.95
O (0.0000, 0.0000, 0.9059)  1 Nb 1.95
O (0.3333, 0.6667, 0.5726)  1 Nb 1.95
O (0.3333, 0.6667, 0.7607)  1 Nb 1.95
O (0.6667, 0.3333, 0.2393)  1 Nb 1.95
O (0.6667, 0.3333, 0.4274)  1 Nb 1.95

Summary:
Symmetry   R-3m
Mass density   6.3 g cm⁻³
Total magnetization   0.00 μB/f.u.
ΔE_f (raw)   -0.993 eV/atom

---

Entry 8:
Entry from Alexandria via LeMat-Bulk: La2CdSi3Pd4 after structural relaxation (PBE-GGA).

abc: 4.3336 4.3336 10.3964
angles: 90.00 90.00 90.00
Closest atoms and distances in Å follow each position.
Fractional positions:
La (0.0000, 0.5000, 0.2453)  8 Pd 3.26-3.35, 6 Si 3.33-3.42, 2 Cd 3.42
La (0.5000, 0.0000, 0.7547)  8 Pd 3.26-3.35, 6 Si 3.33-3.42, 2 Cd 3.42
Cd (0.0000, 0.0000, 0.5000)  4 Pd 2.66
Si (0.0000, 0.5000, 0.8801)  5 Pd 2.40-2.50
Si (0.5000, 0.0000, 0.1199)  5 Pd 2.40-2.50
Si (0.5000, 0.5000, 0.5000)  4 Pd 2.66
Pd (0.0000, 0.0000, 0.0000)  4 Si 2.50
Pd (0.0000, 0.5000, 0.6489)  3 Si 2.40-2.66, 2 Cd 2.66
Pd (0.5000, 0.0000, 0.3511)  3 Si 2.40-2.66, 2 Cd 2.66
Pd (0.5000, 0.5000, 0.0000)  4 Si 2.50

Summary:
Symmetry   P-4m2
Mass density   7.7 g cm⁻³
Total magnetization   0.00 μB/f.u.
ΔE_f (raw)   -0.806 eV/atom

---

Repeat the fourth record exactly.
Entry from Alexandria via LeMat-Bulk: K2LiCo after structural relaxation (PBE-GGA).

abc: 7.8685 4.5080 9.1901
angles: 90.00 105.42 90.00
Closest atoms and distances in Å follow each position.
Fractional positions:
K (0.0000, 0.0000, 0.0000)  3 Co 3.51-3.52, 3 Li 3.61-3.63
K (0.1701, 0.0000, 0.5450)  3 Li 3.50-3.51, 3 Co 3.60-3.61
K (0.5000, 0.5000, 0.0000)  3 Co 3.51-3.52, 3 Li 3.61-3.63
K (0.6701, 0.5000, 0.5450)  3 Li 3.50-3.51, 3 Co 3.60-3.61
Li (0.4220, 0.0000, 0.2818)  3 Co 2.62
Li (0.9220, 0.5000, 0.2818)  3 Co 2.62
Co (0.2492, 0.5000, 0.2653)  3 Li 2.62
Co (0.7492, 0.0000, 0.2653)  3 Li 2.62

Summary:
Symmetry   Cm
Mass density   1.5 g cm⁻³
Total magnetization   1.66 μB/f.u.
Formation enthalpy at 0 K   651 meV per atom